(1)
# HRuF2

A geometry-optimized HRuF2 structure (GGA-PBE, the Alexandria database).

V = 106.05 Å³/cell
Polymorph energy (0 for the lowest one) = 18.8 kJ/mol of atoms

CIF file:
```
data_HRuF2
_chemical_formula_sum 'H3 Ru3 F6'
_cell_length_a 2.6169
_cell_length_b 2.6169
_cell_length_c 17.8806
_cell_angle_alpha 90.00
_cell_angle_beta 90.00
_cell_angle_gamma 120.00
_symmetry_space_group_name_H-M 'R -3 m'
_symmetry_Int_Tables_number 166
_symmetry_space_group_name_Hall '-R 3 2"'
loop_
_atom_site_label
_atom_site_fract_x
_atom_site_fract_y
_atom_site_fract_z
H1 0.0000 0.0000 0.0000
Ru1 0.0000 0.0000 0.5000
F1 0.0000 0.0000 0.3866
```



(2)
# RbLiRhN2

A geometry-optimized RbLiRhN2 structure (GGA-PBE, the Alexandria database).

V = 92.07 Å³/cell
Formation energy without anion corrections = 1192 meV per atom

CIF file:
```
data_RbLiRhN2
_chemical_formula_sum 'Rb1 Li1 Rh1 N2'
_cell_length_a 3.977
_cell_length_b 3.977
_cell_length_c 5.822
_cell_angle_alpha 90.00
_cell_angle_beta 90.00
_cell_angle_gamma 90.00
_symmetry_space_group_name_H-M 'P 4/m m m'
_symmetry_Int_Tables_number 123
_symmetry_space_group_name_Hall '-P 4 2'
loop_
_atom_site_label
_atom_site_fract_x
_atom_site_fract_y
_atom_site_fract_z
Rb1 0.000 0.000 0.000
Li1 0.500 0.500 0.000
Rh1 0.000 0.000 0.500
N1 0.000 0.500 0.500
```



(3)
# Cs3MgAg

A geometry-optimized Cs3MgAg structure (GGA-PBE, the Alexandria database).

V = 416.56 Å³/cell
ΔH_f (0 K) = 0.401 eV per atom

CIF file:
```
data_Cs3MgAg
_chemical_formula_sum 'Cs3 Mg1 Ag1'
_cell_length_a 7.468
_cell_length_b 7.468
_cell_length_c 7.468
_cell_angle_alpha 90.00
_cell_angle_beta 90.00
_cell_angle_gamma 90.00
_symmetry_space_group_name_H-M 'P m -3 m'
_symmetry_Int_Tables_number 221
_symmetry_space_group_name_Hall '-P 4 2 3'
loop_
_atom_site_label
_atom_site_fract_x
_atom_site_fract_y
_atom_site_fract_z
Cs1 0.000 0.000 0.500
Mg1 0.000 0.000 0.000
Ag1 0.500 0.500 0.500
```



(4)
# Be2ZnOs

A geometry-optimized Be2ZnOs structure (GGA-PBE, the Alexandria database).

V = 188.33 Å³/cell
ΔH_f (0 K) = 0.332 eV per atom

CIF file:
```
data_Be2ZnOs
_chemical_formula_sum 'Be8 Zn4 Os4'
_cell_length_a 6.127
_cell_length_b 6.127
_cell_length_c 5.016
_cell_angle_alpha 90.00
_cell_angle_beta 90.00
_cell_angle_gamma 90.00
_symmetry_space_group_name_H-M 'I -4 2 d'
_symmetry_Int_Tables_number 122
_symmetry_space_group_name_Hall 'I -4 2bw'
loop_
_atom_site_label
_atom_site_fract_x
_atom_site_fract_y
_atom_site_fract_z
Be1 0.243 0.250 0.125
Zn1 0.000 0.000 0.000
Os1 0.000 0.000 0.500
```



(5)
# BaLiGa2Au2

A geometry-optimized BaLiGa2Au2 structure (GGA-PBE, the Alexandria database).

V = 137.77 Å³/cell
ΔH_f (0 K) = -0.593 eV per atom

CIF file:
```
data_BaLiGa2Au2
_chemical_formula_sum 'Ba1 Li1 Ga2 Au2'
_cell_length_a 4.5628
_cell_length_b 4.5628
_cell_length_c 7.6412
_cell_angle_alpha 90.00
_cell_angle_beta 90.00
_cell_angle_gamma 120.00
_symmetry_space_group_name_H-M 'P -3 m 1'
_symmetry_Int_Tables_number 164
_symmetry_space_group_name_Hall '-P 3 2"'
loop_
_atom_site_label
_atom_site_fract_x
_atom_site_fract_y
_atom_site_fract_z
Ba1 0.0000 0.0000 0.0000
Li1 0.0000 0.0000 0.5000
Ga1 0.3333 0.6667 0.3256
Au1 0.3333 0.6667 0.6783
```